No. 1
Ga7Tc2Pd2 | Alexandria via LeMat-Bulk | PBE | optimized geometry; SG = Cmmm; formation enthalpy at 0 K = -0.142 eV per atom; total magnetization = 0.00 μB/cell
1.0
3.3518 -4.3205 0.0000
3.3518 4.3205 0.0000
0.0000 0.0000 6.7029
Ga Tc Pd
7 2 2
Cartesian
0.0000 0.0000 0.0000
1.6759 2.1602 1.9227
1.6759 2.1602 4.7801
1.6759 -2.1602 1.9227
1.6759 -2.1602 4.7801
3.3518 0.0000 1.8232
3.3518 0.0000 4.8796
3.3518 1.8054 0.0000
3.3518 -1.8054 0.0000
1.3189 0.0000 3.3514
5.3847 0.0000 3.3514

***

No. 2
Mg2Zn2Ni | Alexandria via LeMat-Bulk | PBE | optimized geometry; polymorph energy (0 for the lowest one) = 255 kJ/mol of formula units; SG = I4/mmm; formation enthalpy at 0 K = 0.382 eV per atom; total magnetization = 0.00 μB/cell
1.0
3.7690 0.0000 0.0000
0.0000 3.7690 0.0000
0.0000 0.0000 12.5025
Mg Zn Ni
4 4 2
Cartesian
0.0000 1.8845 3.1256
0.0000 1.8845 9.3769
1.8845 0.0000 3.1256
1.8845 0.0000 9.3769
0.0000 0.0000 1.1539
0.0000 0.0000 11.3485
1.8845 1.8845 5.0973
1.8845 1.8845 7.4052
0.0000 0.0000 6.2512
1.8845 1.8845 0.0000